Computed, not measured: an optimized crystal structure of Nd2Ho at the GGA-PBE level of DFT.

Properties
- Space-group type: C2/m (12)
- Fermi-level density of states: 10.47 states/eV/cell
- Total magnetization: 0.000 μB per cell
- ΔH_f (0 K): 0.029 eV per atom
- Total energy: -0.1718 Ha/atom

Lattice parameters (Å, degrees): 6.894 6.894 8.642 103.46 103.46 30.96
Fractional coordinates of all 6 atoms:
Nd: 0.030 0.030 0.298
Nd: 0.307 0.307 0.359
Nd: 0.693 0.693 0.641
Nd: 0.970 0.970 0.702
Ho: 0.360 0.360 0.975
Ho: 0.640 0.640 0.025

***

Computed, not measured: an optimized crystal structure of Nd3Ho at the GGA-PBE level of DFT.

Properties
- Space-group type: Fm-3m (225)
- Fermi-level density of states: 9.97 states/eV/cell
- Total magnetization: 0.007 μB per cell
- ΔH_f (0 K): 0.133 eV per atom
- Total energy: -0.1686 Ha/atom

Lattice parameters (Å, degrees): 5.791 5.791 5.791 60.00 60.00 60.00
Fractional coordinates of all 4 atoms:
Nd: 0.000 0.000 0.000
Nd: 0.250 0.250 0.250
Nd: 0.750 0.750 0.750
Ho: 0.500 0.500 0.500

***

Computed, not measured: an optimized crystal structure of Nd2Ho at the GGA-PBE level of DFT.

Properties
- Space-group type: Fd-3m (227)
- Fermi-level density of states: 10.53 states/eV/cell
- Total magnetization: 0.000 μB per cell
- ΔH_f (0 K): 0.265 eV per atom
- Total energy: -0.1631 Ha/atom

Lattice parameters (Å, degrees): 6.677 6.677 6.677 60.00 60.00 60.00
Fractional coordinates of all 6 atoms:
Nd: 0.000 0.000 0.000
Nd: 0.000 0.000 0.500
Nd: 0.000 0.500 0.000
Nd: 0.500 0.000 0.000
Ho: 0.375 0.375 0.375
Ho: 0.625 0.625 0.625

***

Computed, not measured: an optimized crystal structure of Nd3Ho4 at the GGA-PBE level of DFT.

Properties
- Space-group type: I4/mmm (139)
- Fermi-level density of states: 9.62 states/eV/cell
- Total magnetization: 0.000 μB per cell
- ΔH_f (0 K): 0.023 eV per atom
- Total energy: -0.1704 Ha/atom

Lattice parameters (Å, degrees): 17.972 17.972 17.972 168.53 168.53 16.25
Fractional coordinates of all 7 atoms:
Nd: 0.000 0.000 0.000
Nd: 0.287 0.287 0.000
Nd: 0.713 0.713 0.000
Ho: 0.141 0.141 0.000
Ho: 0.428 0.428 0.000
Ho: 0.572 0.572 0.000
Ho: 0.859 0.859 0.000

***

Computed, not measured: an optimized crystal structure of Nd3Ho5 at the GGA-PBE level of DFT.

Properties
- Space-group type: P4/mmm (123)
- Fermi-level density of states: 11.12 states/eV/cell
- Total magnetization: 0.000 μB per cell
- ΔH_f (0 K): 0.022 eV per atom
- Total energy: -0.1700 Ha/atom

Lattice parameters (Å, degrees): 3.584 3.584 20.274 90.00 90.00 90.00
Fractional coordinates of all 8 atoms:
Nd: 0.000 0.000 0.000
Nd: 0.500 0.500 0.374
Nd: 0.500 0.500 0.626
Ho: 0.000 0.000 0.248
Ho: 0.000 0.000 0.500
Ho: 0.000 0.000 0.752
Ho: 0.500 0.500 0.126
Ho: 0.500 0.500 0.874

***

Computed, not measured: an optimized crystal structure of Nd5Ho at the GGA-PBE level of DFT.

Properties
- Space-group type: Cmmm (65)
- Fermi-level density of states: 9.02 states/eV/cell
- Total magnetization: 0.000 μB per cell
- ΔH_f (0 K): 0.015 eV per atom
- Total energy: -0.1735 Ha/atom

Lattice parameters (Å, degrees): 8.185 8.185 5.164 90.00 90.00 143.20
Fractional coordinates of all 6 atoms:
Nd: 0.000 0.000 0.000
Nd: 0.165 0.835 0.500
Nd: 0.334 0.666 0.000
Nd: 0.666 0.334 0.000
Nd: 0.835 0.165 0.500
Ho: 0.500 0.500 0.500

***

Copy entry 3 word for word.
Computed, not measured: an optimized crystal structure of Nd2Ho at the GGA-PBE level of DFT.

Properties
- Space-group type: Fd-3m (227)
- Fermi-level density of states: 10.53 states/eV/cell
- Total magnetization: 0.000 μB per cell
- ΔH_f (0 K): 0.265 eV per atom
- Total energy: -0.1631 Ha/atom

Lattice parameters (Å, degrees): 6.677 6.677 6.677 60.00 60.00 60.00
Fractional coordinates of all 6 atoms:
Nd: 0.000 0.000 0.000
Nd: 0.000 0.000 0.500
Nd: 0.000 0.500 0.000
Nd: 0.500 0.000 0.000
Ho: 0.375 0.375 0.375
Ho: 0.625 0.625 0.625